1.
Material: Tb4N2O
Method: DFT, PBE
State: relaxed

Values from the calculation:
Space-group type   C2/m
Uncorrected formation energy   -11.98 eV/f.u.

Cell: 3.443 6.004 6.790 Å, 115.51 104.69 90.00°
Fractional coordinates of all 7 atoms:
Tb: 0.631 0.293 0.263
Tb: 0.134 0.811 0.268
Tb: 0.369 0.707 0.737
Tb: 0.866 0.189 0.732
N: 0.745 0.740 0.491
N: 0.255 0.260 0.509
O: 0.000 0.000 0.000

2.
Material: LaMo4Os
Method: DFT, PBE
State: relaxed

Values from the calculation:
Space-group type   F-43m
Calculated formation energy   552 meV per atom

Cell: 5.381 5.381 5.381 Å, 60.00 60.00 60.00°
Fractional coordinates of all 6 atoms:
Mo: 0.876 0.375 0.375
Mo: 0.375 0.375 0.876
Mo: 0.375 0.375 0.375
Mo: 0.375 0.876 0.375
La: 0.000 0.000 0.000
Os: 0.750 0.750 0.750

3.
Material: Ti2GeN2
Method: DFT, PBE
State: relaxed

Values from the calculation:
Space-group type   I4/mmm
Energy above the lowest structure with this stoichiometry   0 meV per atom
Uncorrected formation energy   -3.54 eV/f.u.

Cell: 3.716 3.716 5.662 Å, 70.84 70.84 90.00°
Fractional coordinates of all 5 atoms:
N: 0.750 0.250 0.500
N: 0.250 0.750 0.500
Ge: 0.000 0.000 0.000
Ti: 0.322 0.322 0.355
Ti: 0.678 0.678 0.645

no.,mass density (g/cm3),V (A^3/atom),electronic total energy (eV/cell)
1,9.28,17.4,-52.1
2,10.75,18.4,-56.2
3,4.71,13.9,-40.6